# TmNi2Ag

A geometry-optimized TmNi2Ag structure (PBE, the Alexandria database).

## Properties
- offset from the most stable computed form (kJ per mole of atoms) = 0.0
- SG = P4/mmm, No. 123

```
4
Lattice="3.677 0.000 0.000 0.000 4.141 0.000 0.000 0.000 4.141" Properties=species:S:1:pos:R:3 pbc="T T T"
Ag 1.839 0.000 0.000
Ni 0.000 0.000 2.071
Ni 0.000 2.071 0.000
Tm 1.839 2.071 2.071
```